# Sc3GaAu

A relaxed Sc3GaAu crystal (GGA-PBE, the Alexandria database).

a = 5.148 Å, b = 5.148 Å, c = 5.148 Å
α = 90.00°, β = 90.00°, γ = 90.00°
Fractional coordinates of all 5 atoms:
1 Sc 0.000 0.500 0.000
2 Sc 0.000 0.000 0.500
3 Sc 0.500 0.000 0.000
4 Au 0.000 0.000 0.000
5 Ga 0.500 0.500 0.500

Results
For the total energy, the calculation gives -5.005 eV/atom. The value obtained for the relative energy among the computed polymorphs is 0 meV/atom. The energy of formation is 5.3 kJ/mol of atoms. As for the density of states at the Fermi level: 1.76 states/eV/atom.

---

# CePrRh3

A relaxed CePrRh3 crystal (GGA-PBE, the Alexandria database).

a = 5.615 Å, b = 10.595 Å, c = 7.401 Å
α = 110.14°, β = 90.00°, γ = 90.00°
Fractional coordinates of all 20 atoms:
1 Ce 0.754 0.397 0.047
2 Ce 0.254 0.103 0.453
3 Ce 0.246 0.603 0.953
4 Ce 0.746 0.897 0.547
5 Pr 0.254 0.552 0.400
6 Pr 0.746 0.448 0.600
7 Pr 0.246 0.052 0.900
8 Pr 0.754 0.948 0.100
9 Rh 0.240 0.356 0.617
10 Rh 0.260 0.856 0.117
11 Rh 0.498 0.249 0.251
12 Rh 0.998 0.251 0.249
13 Rh 0.502 0.751 0.749
14 Rh 0.760 0.644 0.383
15 Rh 0.756 0.147 0.517
16 Rh 0.244 0.853 0.483
17 Rh 0.740 0.144 0.883
18 Rh 0.002 0.749 0.751
19 Rh 0.744 0.647 0.017
20 Rh 0.256 0.353 0.983

Results
For the total energy, the calculation gives -7.187 eV/atom. The energy of formation is -61.1 kJ/mol of atoms. As for the density of states at the Fermi level: 0.56 states/eV/atom.

---

# Ba2CeTeO6

A relaxed Ba2CeTeO6 crystal (GGA-PBE, the Alexandria database).

a = 6.267 Å, b = 6.267 Å, c = 11.218 Å
α = 73.78°, β = 73.78°, γ = 60.00°
Fractional coordinates of all 20 atoms:
1 Ba 0.863 0.863 0.410
2 Ba 0.137 0.137 0.590
3 Ba 0.727 0.727 0.819
4 Ba 0.273 0.273 0.181
5 Ce 0.595 0.595 0.214
6 Ce 0.405 0.405 0.786
7 Te 0.000 0.000 0.000
8 Te 0.500 0.500 0.500
9 O 0.864 0.382 0.372
10 O 0.382 0.864 0.372
11 O 0.382 0.382 0.372
12 O 0.136 0.618 0.628
13 O 0.618 0.136 0.628
14 O 0.618 0.618 0.628
15 O 0.723 0.199 0.879
16 O 0.199 0.723 0.879
17 O 0.199 0.199 0.879
18 O 0.277 0.801 0.121
19 O 0.801 0.277 0.121
20 O 0.801 0.801 0.121

Results
For the total energy, the calculation gives -6.595 eV/atom.